# 1
Ca2Pb after structural relaxation. Source: Alexandria via LeMat-Bulk, functional PBE.

- N(E_F) (states/eV/cell) = 1.04
- DFT total energy (eV/cell) = -37.52
- formation energy (meV per atom) = -556
- spin magnetization (μB/cell) = 0.00

Lattice parameters (Å, degrees): 7.6876 5.2397 9.6847 90.00 90.00 90.00
With the nearest neighbours (Å) after each atom.
Space group Pnma (No. 62)
One atom of each set of equivalent atoms:
Ca (0.0196, 0.2500, 0.1974) x4  5 Pb 3.38-3.74, 5 Ca 3.73-3.74
Ca (0.1724, 0.2500, 0.5722) x4  4 Pb 3.19-3.32
Pb (0.2420, 0.2500, 0.8968) x4  7 Ca 3.19-3.43


# 2
IrRhCl after structural relaxation. Source: Alexandria via LeMat-Bulk, functional PBE.

- N(E_F) (states/eV/cell) = 3.68
- excess energy over the best structure of this formula in the dataset (meV/atom) = 155.8
- DFT total energy (eV/cell) = -16.13
- ΔE_f (raw) (eV/f.u.) = 1.93
- spin magnetization (μB/cell) = 1.02

Lattice parameters (Å, degrees): 3.6741 3.6741 4.8413 90.00 90.00 120.00
With the nearest neighbours (Å) after each atom.
Space group P3m1 (No. 156)
One atom of each set of equivalent atoms:
Ir (0.0000, 0.0000, 0.0000) x1  3 Rh 2.45, 3 Cl 2.56
Rh (0.6667, 0.3333, 0.2550) x1  3 Ir 2.45
Cl (0.3333, 0.6667, 0.7034) x1  3 Ir 2.56